(1)
# ZrReHg2, optimized geometry, DFT GGA-PBE
# **Excess energy over the best structure of this formula in the dataset**: 0.2289 eV/atom
# **Density**: 14.63 g cm⁻³
# **Energy of formation from the pure elements**: 1.98 eV per formula unit
# **Magnetization**: 0.5 μB/cell
data_ZrReHg2
_cell_length_a 2.9390
_cell_length_b 2.9390
_cell_length_c 8.9155
_cell_angle_alpha 90.00
_cell_angle_beta 90.00
_cell_angle_gamma 90.00
_space_group_name_H-M_alt 'P 1'
_space_group_IT_number 1
loop_
_space_group_symop_operation_xyz
'x,y,z'
loop_
_atom_site_label
_atom_site_fract_x
_atom_site_fract_y
_atom_site_fract_z
_atom_site_occupancy
Zr1 0.0000 0.0000 0.0000 1
Re1 0.0000 0.0000 0.5000 1
Hg1 0.5000 0.5000 0.2612 1
Hg2 0.5000 0.5000 0.7388 1


(2)
# ZrReHg4, optimized geometry, DFT GGA-PBE
# **Density**: 14.58 g cm⁻³
# **Energy of formation from the pure elements**: 3.99 eV per formula unit
# **Magnetization**: 0.0 μB/cell
data_ZrReHg4
_cell_length_a 5.5819
_cell_length_b 5.5819
_cell_length_c 5.5819
_cell_angle_alpha 60.00
_cell_angle_beta 60.00
_cell_angle_gamma 60.00
_space_group_name_H-M_alt 'P 1'
_space_group_IT_number 1
loop_
_space_group_symop_operation_xyz
'x,y,z'
loop_
_atom_site_label
_atom_site_fract_x
_atom_site_fract_y
_atom_site_fract_z
_atom_site_occupancy
Zr1 0.0000 0.0000 0.0000 1
Re1 0.2500 0.2500 0.2500 1
Hg1 0.1260 0.6247 0.6247 1
Hg2 0.6247 0.1260 0.6247 1
Hg3 0.6247 0.6247 0.1260 1
Hg4 0.6247 0.6247 0.6247 1


(3)
# ZrReHg2, optimized geometry, DFT GGA-PBE
# **Excess energy over the best structure of this formula in the dataset**: 0.2303 eV/atom
# **Density**: 14.63 g cm⁻³
# **Energy of formation from the pure elements**: 1.99 eV per formula unit
# **Magnetization**: 0.0 μB/cell
data_ZrReHg2
_cell_length_a 6.7540
_cell_length_b 6.7540
_cell_length_c 6.7540
_cell_angle_alpha 90.00
_cell_angle_beta 90.00
_cell_angle_gamma 90.00
_space_group_name_H-M_alt 'P 1'
_space_group_IT_number 1
loop_
_space_group_symop_operation_xyz
'x,y,z'
loop_
_atom_site_label
_atom_site_fract_x
_atom_site_fract_y
_atom_site_fract_z
_atom_site_occupancy
Zr1 0.0000 0.0000 0.0000 1
Zr2 0.0000 0.5000 0.5000 1
Zr3 0.5000 0.0000 0.5000 1
Zr4 0.5000 0.5000 0.0000 1
Re1 0.0000 0.0000 0.5000 1
Re2 0.0000 0.5000 0.0000 1
Re3 0.5000 0.0000 0.0000 1
Re4 0.5000 0.5000 0.5000 1
Hg1 0.2500 0.2500 0.2500 1
Hg2 0.2500 0.2500 0.7500 1
Hg3 0.2500 0.7500 0.2500 1
Hg4 0.2500 0.7500 0.7500 1
Hg5 0.7500 0.2500 0.2500 1
Hg6 0.7500 0.2500 0.7500 1
Hg7 0.7500 0.7500 0.2500 1
Hg8 0.7500 0.7500 0.7500 1


(4)
# Hg2Rh, optimized geometry, DFT GGA-PBE
# **Density**: 12.58 g cm⁻³
# **Energy of formation from the pure elements**: 0.69 eV per formula unit
# **Magnetization**: 0.0 μB/cell
data_Hg2Rh
_cell_length_a 6.4332
_cell_length_b 6.4332
_cell_length_c 6.4332
_cell_angle_alpha 90.00
_cell_angle_beta 90.00
_cell_angle_gamma 90.00
_space_group_name_H-M_alt 'P 1'
_space_group_IT_number 1
loop_
_space_group_symop_operation_xyz
'x,y,z'
loop_
_atom_site_label
_atom_site_fract_x
_atom_site_fract_y
_atom_site_fract_z
_atom_site_occupancy
Hg1 0.2500 0.2500 0.2500 1
Hg2 0.2500 0.2500 0.7500 1
Hg3 0.2500 0.7500 0.2500 1
Hg4 0.2500 0.7500 0.7500 1
Hg5 0.7500 0.2500 0.2500 1
Hg6 0.7500 0.2500 0.7500 1
Hg7 0.7500 0.7500 0.2500 1
Hg8 0.7500 0.7500 0.7500 1
Rh1 0.0000 0.0000 0.0000 1
Rh2 0.0000 0.5000 0.5000 1
Rh3 0.5000 0.0000 0.5000 1
Rh4 0.5000 0.5000 0.0000 1


(5)
# Hg4Rh3, optimized geometry, DFT GGA-PBE
# **Excess energy over the best structure of this formula in the dataset**: 0.1396 eV/atom
# **Density**: 13.73 g cm⁻³
# **Energy of formation from the pure elements**: 2.34 eV per formula unit
# **Magnetization**: 1.9 μB/cell
data_Hg4Rh3
_cell_length_a 5.4240
_cell_length_b 5.4240
_cell_length_c 5.2742
_cell_angle_alpha 90.00
_cell_angle_beta 90.00
_cell_angle_gamma 120.00
_space_group_name_H-M_alt 'P 1'
_space_group_IT_number 1
loop_
_space_group_symop_operation_xyz
'x,y,z'
loop_
_atom_site_label
_atom_site_fract_x
_atom_site_fract_y
_atom_site_fract_z
_atom_site_occupancy
Hg1 0.0000 0.0000 0.2483 1
Hg2 0.0000 0.0000 0.7517 1
Hg3 0.3333 0.6667 0.0000 1
Hg4 0.6667 0.3333 0.0000 1
Rh1 0.0000 0.5000 0.5000 1
Rh2 0.5000 0.0000 0.5000 1
Rh3 0.5000 0.5000 0.5000 1


(6)
# Hg2Rh, optimized geometry, DFT GGA-PBE
# **Density**: 14.59 g cm⁻³
# **Energy of formation from the pure elements**: 0.81 eV per formula unit
# **Magnetization**: 0.0 μB/cell
data_Hg2Rh
_cell_length_a 4.5818
_cell_length_b 4.5818
_cell_length_c 3.1562
_cell_angle_alpha 90.00
_cell_angle_beta 90.00
_cell_angle_gamma 120.00
_space_group_name_H-M_alt 'P 1'
_space_group_IT_number 1
loop_
_space_group_symop_operation_xyz
'x,y,z'
loop_
_atom_site_label
_atom_site_fract_x
_atom_site_fract_y
_atom_site_fract_z
_atom_site_occupancy
Hg1 0.3333 0.6667 0.1698 1
Hg2 0.6667 0.3333 0.8302 1
Rh1 0.0000 0.0000 0.5000 1


(7)
# Hg3Rh, optimized geometry, DFT GGA-PBE
# **Density**: 14.62 g cm⁻³
# **Energy of formation from the pure elements**: 0.82 eV per formula unit
# **Magnetization**: 0.0 μB/cell
data_Hg3Rh
_cell_length_a 5.8373
_cell_length_b 8.2585
_cell_length_c 3.3196
_cell_angle_alpha 90.00
_cell_angle_beta 90.00
_cell_angle_gamma 90.00
_space_group_name_H-M_alt 'P 1'
_space_group_IT_number 1
loop_
_space_group_symop_operation_xyz
'x,y,z'
loop_
_atom_site_label
_atom_site_fract_x
_atom_site_fract_y
_atom_site_fract_z
_atom_site_occupancy
Hg1 0.0000 0.0000 0.0000 1
Hg2 0.2500 0.2500 0.5000 1
Hg3 0.2500 0.7500 0.5000 1
Hg4 0.5000 0.5000 0.0000 1
Hg5 0.7500 0.2500 0.5000 1
Hg6 0.7500 0.7500 0.5000 1
Rh1 0.0000 0.5000 0.0000 1
Rh2 0.5000 0.0000 0.0000 1


(8)
# Hg3Rh, optimized geometry, DFT GGA-PBE
# **Density**: 14.90 g cm⁻³
# **Energy of formation from the pure elements**: 1.25 eV per formula unit
# **Magnetization**: 0.0 μB/cell
data_Hg3Rh
_cell_length_a 6.7972
_cell_length_b 6.7972
_cell_length_c 6.7972
_cell_angle_alpha 90.00
_cell_angle_beta 90.00
_cell_angle_gamma 90.00
_space_group_name_H-M_alt 'P 1'
_space_group_IT_number 1
loop_
_space_group_symop_operation_xyz
'x,y,z'
loop_
_atom_site_label
_atom_site_fract_x
_atom_site_fract_y
_atom_site_fract_z
_atom_site_occupancy
Hg1 0.0000 0.0000 0.0000 1
Hg2 0.0000 0.5000 0.5000 1
Hg3 0.2500 0.2500 0.2500 1
Hg4 0.2500 0.2500 0.7500 1
Hg5 0.2500 0.7500 0.2500 1
Hg6 0.2500 0.7500 0.7500 1
Hg7 0.5000 0.0000 0.5000 1
Hg8 0.5000 0.5000 0.0000 1
Hg9 0.7500 0.2500 0.2500 1
Hg10 0.7500 0.2500 0.7500 1
Hg11 0.7500 0.7500 0.2500 1
Hg12 0.7500 0.7500 0.7500 1
Rh1 0.0000 0.0000 0.5000 1
Rh2 0.0000 0.5000 0.0000 1
Rh3 0.5000 0.0000 0.0000 1
Rh4 0.5000 0.5000 0.5000 1


(9)
# HgRh5, optimized geometry, DFT GGA-PBE
# **Density**: 12.99 g cm⁻³
# **Energy of formation from the pure elements**: 0.96 eV per formula unit
# **Magnetization**: 0.0 μB/cell
data_HgRh5
_cell_length_a 3.9269
_cell_length_b 11.8862
_cell_length_c 3.9160
_cell_angle_alpha 90.00
_cell_angle_beta 90.00
_cell_angle_gamma 90.00
_space_group_name_H-M_alt 'P 1'
_space_group_IT_number 1
loop_
_space_group_symop_operation_xyz
'x,y,z'
loop_
_atom_site_label
_atom_site_fract_x
_atom_site_fract_y
_atom_site_fract_z
_atom_site_occupancy
Hg1 0.0000 0.0000 0.0000 1
Hg2 0.5000 0.5000 0.0000 1
Rh1 0.0000 0.1725 0.5000 1
Rh2 0.0000 0.3264 0.0000 1
Rh3 0.0000 0.5000 0.5000 1
Rh4 0.0000 0.6736 0.0000 1
Rh5 0.0000 0.8275 0.5000 1
Rh6 0.5000 0.0000 0.5000 1
Rh7 0.5000 0.1736 0.0000 1
Rh8 0.5000 0.3275 0.5000 1
Rh9 0.5000 0.6725 0.5000 1
Rh10 0.5000 0.8264 0.0000 1


(10)
# Hg4Rh5, optimized geometry, DFT GGA-PBE
# **Excess energy over the best structure of this formula in the dataset**: 0.0000 eV/atom
# **Density**: 14.12 g cm⁻³
# **Energy of formation from the pure elements**: 2.35 eV per formula unit
# **Magnetization**: 1.3 μB/cell
data_Hg4Rh5
_cell_length_a 6.4480
_cell_length_b 6.4480
_cell_length_c 6.4480
_cell_angle_alpha 95.96
_cell_angle_beta 95.96
_cell_angle_gamma 142.39
_space_group_name_H-M_alt 'P 1'
_space_group_IT_number 1
loop_
_space_group_symop_operation_xyz
'x,y,z'
loop_
_atom_site_label
_atom_site_fract_x
_atom_site_fract_y
_atom_site_fract_z
_atom_site_occupancy
Hg1 0.0000 0.3186 0.3186 1
Hg2 0.0000 0.6814 0.6814 1
Hg3 0.3186 0.0000 0.3186 1
Hg4 0.6814 0.0000 0.6814 1
Rh1 0.0000 0.0000 0.0000 1
Rh2 0.3409 0.3409 0.6818 1
Rh3 0.3409 0.6591 0.0000 1
Rh4 0.6591 0.3409 0.0000 1
Rh5 0.6591 0.6591 0.3182 1


(11)
# Hg2Rh, optimized geometry, DFT GGA-PBE
# **Density**: 14.35 g cm⁻³
# **Energy of formation from the pure elements**: 0.54 eV per formula unit
# **Magnetization**: 0.0 μB/cell
data_Hg2Rh
_cell_length_a 3.1542
_cell_length_b 3.1542
_cell_length_c 11.7249
_cell_angle_alpha 90.00
_cell_angle_beta 90.00
_cell_angle_gamma 90.00
_space_group_name_H-M_alt 'P 1'
_space_group_IT_number 1
loop_
_space_group_symop_operation_xyz
'x,y,z'
loop_
_atom_site_label
_atom_site_fract_x
_atom_site_fract_y
_atom_site_fract_z
_atom_site_occupancy
Hg1 0.0000 0.0000 0.1491 1
Hg2 0.0000 0.0000 0.8509 1
Hg3 0.5000 0.5000 0.3509 1
Hg4 0.5000 0.5000 0.6491 1
Rh1 0.0000 0.0000 0.5000 1
Rh2 0.5000 0.5000 0.0000 1


(12)
# Hg3Rh, optimized geometry, DFT GGA-PBE
# **Density**: 14.83 g cm⁻³
# **Energy of formation from the pure elements**: 0.72 eV per formula unit
# **Magnetization**: 0.0 μB/cell
data_Hg3Rh
_cell_length_a 4.2069
_cell_length_b 4.2069
_cell_length_c 17.8390
_cell_angle_alpha 90.00
_cell_angle_beta 90.00
_cell_angle_gamma 90.00
_space_group_name_H-M_alt 'P 1'
_space_group_IT_number 1
loop_
_space_group_symop_operation_xyz
'x,y,z'
loop_
_atom_site_label
_atom_site_fract_x
_atom_site_fract_y
_atom_site_fract_z
_atom_site_occupancy
Hg1 0.0000 0.0000 0.1269 1
Hg2 0.0000 0.0000 0.8731 1
Hg3 0.0000 0.5000 0.0000 1
Hg4 0.0000 0.5000 0.2500 1
Hg5 0.0000 0.5000 0.5000 1
Hg6 0.0000 0.5000 0.7500 1
Hg7 0.5000 0.0000 0.0000 1
Hg8 0.5000 0.0000 0.2500 1
Hg9 0.5000 0.0000 0.5000 1
Hg10 0.5000 0.0000 0.7500 1
Hg11 0.5000 0.5000 0.3731 1
Hg12 0.5000 0.5000 0.6269 1
Rh1 0.0000 0.0000 0.3862 1
Rh2 0.0000 0.0000 0.6138 1
Rh3 0.5000 0.5000 0.1138 1
Rh4 0.5000 0.5000 0.8862 1